The following is a DFT calculation (PBE) of a relaxed structure of K2InAg.

Results
ΔE_f	0.1112	eV/atom
E	-1.835	eV/atom

a = 7.121 Å, b = 9.996 Å, c = 3.976 Å
α = 90.00°, β = 90.13°, γ = 90.00°
Space group C2/m (No. 12)
Symmetry-distinct sites (fractional):
K  0.250  0.250  0.000 [4 per cell]
In  0.000  0.000  0.500 [2 per cell]
Ag  0.000  0.500  0.500 [2 per cell]


The following is a DFT calculation (PBE) of a relaxed structure of K4In3Ag2.

Results
ΔE_f	-0.0742	eV/atom
E	-2.108	eV/atom

a = 17.989 Å, b = 4.676 Å, c = 8.222 Å
α = 90.00°, β = 105.49°, γ = 90.00°
Space group C2/m (No. 12)
Symmetry-distinct sites (fractional):
K  0.082  0.000  0.388 [4 per cell]
K  0.230  0.500  0.185 [4 per cell]
In  0.000  0.500  0.000 [2 per cell]
In  0.099  0.500  0.744 [4 per cell]
Ag  0.081  0.000  0.934 [4 per cell]


The following is a DFT calculation (PBE) of a relaxed structure of KIn2Ag2.

Results
ΔE_f	-0.0500	eV/atom
relative energy among the computed polymorphs	4	kJ/mol of formula units
E	-2.505	eV/atom

a = 6.203 Å, b = 7.026 Å, c = 7.941 Å
α = 72.03°, β = 67.13°, γ = 63.95°
Space group P-1 (No. 2)
Symmetry-distinct sites (fractional):
K  0.126  0.250  0.250 [2 per cell]
In  0.147  0.142  0.774 [2 per cell]
In  0.437  0.642  0.274 [2 per cell]
Ag  0.304  0.696  0.949 [2 per cell]
Ag  0.448  0.805  0.551 [2 per cell]


The following is a DFT calculation (PBE) of a relaxed structure of K2InAg.

Results
ΔE_f	-0.0181	eV/atom
E	-1.964	eV/atom

a = 5.348 Å, b = 4.686 Å, c = 6.896 Å
α = 90.00°, β = 112.77°, γ = 90.00°
Space group Pm (No. 6)
Symmetry-distinct sites (fractional):
K  0.000  0.000  0.000 [1 per cell]
K  0.296  0.500  0.592 [1 per cell]
In  0.592  0.500  0.185 [1 per cell]
Ag  0.710  0.000  0.419 [1 per cell]


The following is a DFT calculation (PBE) of a relaxed structure of K2InAg.

Results
ΔE_f	0.0024	eV/atom
E	-1.944	eV/atom

a = 3.885 Å, b = 3.885 Å, c = 10.021 Å
α = 90.00°, β = 90.00°, γ = 90.00°
Space group P4mm (No. 99)
Symmetry-distinct sites (fractional):
K  0.000  0.000  0.000 [1 per cell]
K  0.500  0.500  0.397 [1 per cell]
In  0.500  0.500  0.753 [1 per cell]
Ag  0.000  0.000  0.641 [1 per cell]


The following is a DFT calculation (PBE) of a relaxed structure of KInAg.

Results
ΔE_f	-0.0176	eV/atom
E	-2.247	eV/atom

a = 3.386 Å, b = 4.296 Å, c = 12.388 Å
α = 90.00°, β = 90.00°, γ = 90.00°
Space group Imm2 (No. 44)
Symmetry-distinct sites (fractional):
K  0.000  0.000  0.000 [2 per cell]
In  0.000  0.000  0.291 [2 per cell]
Ag  0.000  0.000  0.709 [2 per cell]


The following is a DFT calculation (PBE) of a relaxed structure of KIn3Ag.

Results
ΔE_f	1.0061	eV/atom
relative energy among the computed polymorphs	530	kJ/mol of formula units
E	-1.427	eV/atom

a = 6.083 Å, b = 6.083 Å, c = 6.083 Å
α = 90.00°, β = 90.00°, γ = 90.00°
Space group Pm-3m (No. 221)
Symmetry-distinct sites (fractional):
K  0.000  0.000  0.000 [1 per cell]
In  0.000  0.000  0.500 [3 per cell]
Ag  0.500  0.500  0.500 [1 per cell]


The following is a DFT calculation (PBE) of a relaxed structure of K2LiIn5Ag2.

Results
ΔE_f	-0.0681	eV/atom
E	-2.418	eV/atom

a = 11.640 Å, b = 11.640 Å, c = 3.894 Å
α = 90.00°, β = 90.00°, γ = 90.00°
Space group P4/mbm (No. 127)
Symmetry-distinct sites (fractional):
K  0.178  0.322  0.000 [4 per cell]
Li  0.000  0.000  0.000 [2 per cell]
In  0.000  0.500  0.500 [2 per cell]
In  0.055  0.812  0.500 [8 per cell]
Ag  0.127  0.627  0.000 [4 per cell]


The following is a DFT calculation (PBE) of a relaxed structure of KLiIn2Ag.

Results
ΔE_f	0.0146	eV/atom
E	-2.253	eV/atom

a = 5.360 Å, b = 5.360 Å, c = 5.333 Å
α = 90.00°, β = 90.00°, γ = 90.00°
Space group P4/mmm (No. 123)
Symmetry-distinct sites (fractional):
K  0.000  0.000  0.000 [1 per cell]
Li  0.500  0.500  0.000 [1 per cell]
In  0.000  0.500  0.500 [2 per cell]
Ag  0.500  0.500  0.500 [1 per cell]


The following is a DFT calculation (PBE) of a relaxed structure of KLi2InAg.

Results
ΔE_f	-0.0129	eV/atom
E	-2.116	eV/atom

a = 5.263 Å, b = 5.263 Å, c = 5.279 Å
α = 90.00°, β = 90.00°, γ = 90.00°
Space group P4/mmm (No. 123)
Symmetry-distinct sites (fractional):
K  0.000  0.000  0.000 [1 per cell]
Li  0.000  0.500  0.500 [2 per cell]
In  0.500  0.500  0.000 [1 per cell]
Ag  0.500  0.500  0.500 [1 per cell]


The following is a DFT calculation (PBE) of a relaxed structure of K2MgIn5Ag2.

Results
ΔE_f	-0.0429	eV/atom
E	-2.361	eV/atom

a = 11.748 Å, b = 11.748 Å, c = 3.936 Å
α = 90.00°, β = 90.00°, γ = 90.00°
Space group P4/mbm (No. 127)
Symmetry-distinct sites (fractional):
K  0.179  0.321  0.000 [4 per cell]
Mg  0.000  0.000  0.000 [2 per cell]
In  0.000  0.500  0.500 [2 per cell]
In  0.054  0.805  0.500 [8 per cell]
Ag  0.125  0.625  0.000 [4 per cell]


The following is a DFT calculation (PBE) of a relaxed structure of K2Mg3In12Ag.

Results
ΔE_f	0.0291	eV/atom
E	-2.343	eV/atom

a = 7.5011 Å, b = 7.5011 Å, c = 33.3407 Å
α = 90.00°, β = 90.00°, γ = 120.00°
Space group R-3m (No. 166, hexagonal axes)
Symmetry-distinct sites (fractional):
K  0.0000  0.0000  0.1487 [6 per cell]
Mg  0.0000  0.5000  0.0000 [9 per cell]
In  0.0424  0.5212  0.1006 [18 per cell]
In  0.0637  0.5319  0.6156 [18 per cell]
Ag  0.0000  0.0000  0.5000 [3 per cell]


The following is a DFT calculation (PBE) of a relaxed structure of KNa2InAg.

Results
ΔE_f	0.0627	eV/atom
relative energy among the computed polymorphs	31	kJ/mol of formula units
E	-1.802	eV/atom

a = 5.995 Å, b = 5.995 Å, c = 5.350 Å
α = 90.00°, β = 90.00°, γ = 90.00°
Space group P4/mmm (No. 123)
Symmetry-distinct sites (fractional):
K  0.000  0.000  0.000 [1 per cell]
Na  0.000  0.500  0.500 [2 per cell]
In  0.500  0.500  0.500 [1 per cell]
Ag  0.500  0.500  0.000 [1 per cell]


The following is a DFT calculation (PBE) of a relaxed structure of KNaInAg.

Results
ΔE_f	-0.0520	eV/atom
relative energy among the computed polymorphs	0	kJ/mol of formula units
E	-2.054	eV/atom

a = 8.734 Å, b = 4.885 Å, c = 6.834 Å
α = 90.00°, β = 114.64°, γ = 90.00°
Space group Cm (No. 8)
Symmetry-distinct sites (fractional):
K  0.000  0.000  0.000 [2 per cell]
Na  0.197  0.000  0.609 [2 per cell]
In  0.453  0.000  0.375 [2 per cell]
Ag  0.288  0.500  0.388 [2 per cell]


The following is a DFT calculation (PBE) of a relaxed structure of KNa2InAg.

Results
ΔE_f	-0.0020	eV/atom
relative energy among the computed polymorphs	0	kJ/mol of formula units
E	-1.867	eV/atom

a = 5.772 Å, b = 5.772 Å, c = 5.358 Å
α = 90.00°, β = 90.00°, γ = 90.00°
Space group P4/mmm (No. 123)
Symmetry-distinct sites (fractional):
K  0.000  0.000  0.000 [1 per cell]
Na  0.000  0.500  0.500 [2 per cell]
In  0.500  0.500  0.000 [1 per cell]
Ag  0.500  0.500  0.500 [1 per cell]


The following is a DFT calculation (PBE) of a relaxed structure of KNaInAg.

Results
ΔE_f	0.0407	eV/atom
relative energy among the computed polymorphs	36	kJ/mol of formula units
E	-1.961	eV/atom

a = 7.671 Å, b = 7.671 Å, c = 7.671 Å
α = 90.00°, β = 90.00°, γ = 90.00°
Space group F-43m (No. 216)
Symmetry-distinct sites (fractional):
K  0.000  0.000  0.000 [4 per cell]
Na  0.250  0.250  0.250 [4 per cell]
In  0.000  0.000  0.500 [4 per cell]
Ag  0.250  0.250  0.750 [4 per cell]


The following is a DFT calculation (PBE) of a relaxed structure of K2In6AgPb.

Results
ΔE_f	0.0823	eV/atom
E	-2.436	eV/atom

a = 7.6133 Å, b = 7.6133 Å, c = 41.9017 Å
α = 90.00°, β = 90.00°, γ = 120.00°
Space group R-3m (No. 166, hexagonal axes)
Symmetry-distinct sites (fractional):
K  0.0000  0.0000  0.1317 [6 per cell]
K  0.0000  0.0000  0.3023 [6 per cell]
In  0.0514  0.5257  0.8704 [18 per cell]
In  0.0695  0.5348  0.7216 [18 per cell]
Ag  0.0000  0.0000  0.0000 [3 per cell]
Ag  0.0000  0.0000  0.5000 [3 per cell]
Pb  0.0000  0.0000  0.4180 [6 per cell]


The following is a DFT calculation (PBE) of a relaxed structure of KInAgPb.

Results
ΔE_f	0.0642	eV/atom
E	-2.535	eV/atom

a = 7.685 Å, b = 7.685 Å, c = 7.685 Å
α = 90.00°, β = 90.00°, γ = 90.00°
Space group F-43m (No. 216)
Symmetry-distinct sites (fractional):
K  0.000  0.000  0.000 [4 per cell]
In  0.250  0.250  0.250 [4 per cell]
Ag  0.250  0.250  0.750 [4 per cell]
Pb  0.000  0.000  0.500 [4 per cell]


The following is a DFT calculation (PBE) of a relaxed structure of K2In12AgPd3.

Results
ΔE_f	-0.0605	eV/atom
E	-3.032	eV/atom

a = 10.0694 Å, b = 10.0694 Å, c = 19.6192 Å
α = 90.00°, β = 90.00°, γ = 120.00°
Space group R-3m (No. 166, hexagonal axes)
Symmetry-distinct sites (fractional):
K  0.0000  0.0000  0.0931 [6 per cell]
In  0.0079  0.5040  0.8622 [18 per cell]
In  0.0972  0.5486  0.2984 [18 per cell]
Ag  0.0000  0.0000  0.5000 [3 per cell]
Pd  0.0000  0.5000  0.0000 [9 per cell]


The following is a DFT calculation (PBE) of a relaxed structure of KIn2AgPd.

Results
ΔE_f	-0.1236	eV/atom
E	-3.047	eV/atom

a = 5.160 Å, b = 5.160 Å, c = 5.461 Å
α = 90.00°, β = 90.00°, γ = 90.00°
Space group P4/mmm (No. 123)
Symmetry-distinct sites (fractional):
K  0.000  0.000  0.000 [1 per cell]
In  0.000  0.500  0.500 [2 per cell]
Ag  0.500  0.500  0.000 [1 per cell]
Pd  0.500  0.500  0.500 [1 per cell]